Entry 1:
Material: Ba3Tl2Ag
Method: DFT, PBE
State: optimized geometry

Calculated values
Calculated formation energy   -0.35 eV/atom
Theoretical density   6.75 g cm⁻³
Size of the total moment   0.000 μB/atom
Energy above the most stable polymorph in this dataset   0.008 eV per atom
Space group   No. 123

a = 4.274 Å, b = 4.274 Å, c = 12.500 Å
α = 90.00°, β = 90.00°, γ = 90.00°
Atoms (fractional coordinates):
Ba: 0.000 0.000 0.000
Ba: 0.000 0.000 0.338
Ba: 0.000 0.000 0.662
Tl: 0.500 0.500 0.166
Tl: 0.500 0.500 0.834
Ag: 0.500 0.500 0.500

=====

Entry 2:
Material: Ba3Tl3Ag
Method: DFT, PBE
State: optimized geometry

Calculated values
Calculated formation energy   -0.33 eV/atom
Theoretical density   7.10 g cm⁻³
Size of the total moment   0.000 μB/atom
Space group   No. 12

a = 6.979 Å, b = 6.979 Å, c = 18.248 Å
α = 104.89°, β = 104.89°, γ = 38.28°
Atoms (fractional coordinates):
Ba: 0.008 0.008 0.388
Ba: 0.113 0.113 0.923
Ba: 0.227 0.227 0.234
Ba: 0.773 0.773 0.766
Ba: 0.887 0.887 0.077
Ba: 0.992 0.992 0.612
Tl: 0.325 0.325 0.461
Tl: 0.394 0.394 0.923
Tl: 0.491 0.491 0.768
Tl: 0.509 0.509 0.232
Tl: 0.606 0.606 0.077
Tl: 0.675 0.675 0.539
Ag: 0.297 0.297 0.625
Ag: 0.703 0.703 0.375

=====

Entry 3:
Material: Ba2Tl2Ag15
Method: DFT, PBE
State: optimized geometry

Calculated values
Calculated formation energy   -0.07 eV/atom
Theoretical density   9.03 g cm⁻³
Size of the total moment   0.000 μB/atom
Space group   No. 166

a = 7.553 Å, b = 7.553 Å, c = 7.553 Å
α = 83.43°, β = 83.43°, γ = 83.43°
Atoms (fractional coordinates):
Ba: 0.152 0.152 0.152
Ba: 0.848 0.848 0.848
Tl: 0.396 0.396 0.396
Tl: 0.604 0.604 0.604
Ag: 0.000 0.500 0.500
Ag: 0.154 0.154 0.659
Ag: 0.154 0.659 0.154
Ag: 0.194 0.500 0.806
Ag: 0.194 0.806 0.500
Ag: 0.341 0.846 0.846
Ag: 0.500 0.000 0.500
Ag: 0.500 0.194 0.806
Ag: 0.500 0.500 0.000
Ag: 0.500 0.806 0.194
Ag: 0.659 0.154 0.154
Ag: 0.806 0.194 0.500
Ag: 0.806 0.500 0.194
Ag: 0.846 0.341 0.846
Ag: 0.846 0.846 0.341

=====

Entry 4:
Material: Ba2TlAg2
Method: DFT, PBE
State: optimized geometry

Calculated values
Calculated formation energy   -0.27 eV/atom
Theoretical density   6.68 g cm⁻³
Size of the total moment   0.000 μB/atom
Energy above the most stable polymorph in this dataset   0.040 eV per atom
Space group   No. 12

a = 7.014 Å, b = 7.014 Å, c = 12.332 Å
α = 115.77°, β = 115.77°, γ = 39.94°
Atoms (fractional coordinates):
Ba: 0.005 0.005 0.331
Ba: 0.188 0.188 0.117
Ba: 0.812 0.812 0.883
Ba: 0.995 0.995 0.669
Tl: 0.274 0.274 0.632
Tl: 0.726 0.726 0.368
Ag: 0.374 0.374 0.443
Ag: 0.481 0.481 0.107
Ag: 0.519 0.519 0.893
Ag: 0.626 0.626 0.557

=====

Entry 5:
Material: Ba6TlAg
Method: DFT, PBE
State: optimized geometry

Calculated values
Calculated formation energy   -0.08 eV/atom
Theoretical density   4.13 g cm⁻³
Size of the total moment   0.019 μB/atom
Energy above the most stable polymorph in this dataset   0.078 eV per atom
Space group   No. 12

a = 8.216 Å, b = 8.216 Å, c = 8.218 Å
α = 100.41°, β = 100.41°, γ = 118.38°
Atoms (fractional coordinates):
Ba: 0.061 0.412 0.252
Ba: 0.246 0.246 0.758
Ba: 0.412 0.061 0.252
Ba: 0.588 0.939 0.748
Ba: 0.754 0.754 0.242
Ba: 0.939 0.588 0.748
Tl: 0.500 0.500 0.500
Ag: 0.000 0.000 0.000

=====

Entry 6:
Material: BaTlAg
Method: DFT, PBE
State: optimized geometry

Calculated values
Calculated formation energy   -0.15 eV/atom
Theoretical density   6.86 g cm⁻³
Size of the total moment   0.001 μB/atom
Energy above the most stable polymorph in this dataset   0.155 eV per atom
Space group   No. 216

a = 5.358 Å, b = 5.358 Å, c = 5.358 Å
α = 60.00°, β = 60.00°, γ = 60.00°
Atoms (fractional coordinates):
Ba: 0.000 0.000 0.000
Tl: 0.500 0.500 0.500
Ag: 0.750 0.750 0.750

=====

- size of the total moment of number 1 (Ba3Tl2Ag)?
  0.000 μB/atom

=====

- Which of these has the highest theoretical density?
  Ba2Tl2Ag15